Nb2V2Fe5Si: relaxed, PBE.

Structure (CIF):
```
data_Nb2V2Fe5Si
_space_group_name_H-M_alt 'P 4/m b m'
_space_group_IT_number 127
_space_group_name_Hall '-P 4 2ab'
_cell_length_a 9.5755
_cell_length_b 9.5755
_cell_length_c 2.8050
_cell_angle_alpha 90.00
_cell_angle_beta 90.00
_cell_angle_gamma 90.00
loop_
_atom_site_label
_atom_site_type_symbol
_atom_site_fract_x
_atom_site_fract_y
_atom_site_fract_z
Nb1 Nb 0.1762 0.3238 0.0000
V1 V 0.1367 0.6367 0.0000
Fe1 Fe 0.0000 0.5000 0.5000
Fe2 Fe 0.0464 0.8072 0.5000
Si1 Si 0.0000 0.0000 0.0000
```

The formation energy without anion corrections is -0.01 eV per atom. The total energy comes out at -172.38 eV/cell. As for the density of states at the Fermi level: 18.8 states/eV/cell.